Material: LiTiAl
Method: DFT, GGA-PBE
State: optimized geometry

abc: 4.629 3.050 7.537
angles: 90.00 107.56 90.00
Fractional coordinates of all 6 atoms:
Li (0.765, 0.750, 0.530)
Li (0.235, 0.250, 0.470)
Ti (0.426, 0.750, 0.848)
Ti (0.574, 0.250, 0.152)
Al (0.925, 0.250, 0.845)
Al (0.075, 0.750, 0.155)

Calculated values
size of the total moment = 0.00 μB/f.u.
DFT formation energy = -0.132 eV/atom
polymorph energy (0 for the lowest one) = 0.0759 eV/atom